1.
The following is a DFT calculation (GGA-PBE) of crystalline Na3TmSb2Se6 at its relaxed geometry.

Lattice parameters (Å, degrees): 7.1862 12.4536 7.4208 90.00 108.83 90.00
Closest atoms and distances in Å follow each position.
Space group C2/m (No. 12)
Asymmetric unit:
Na  0.0000  0.0000  0.0000 [2 per cell]  6 Se 3.05-3.08
Na  0.0000  0.3278  0.0000 [4 per cell]  6 Se 3.04-3.09
Tm  0.0000  0.5000  0.5000 [2 per cell]  6 Se 2.85-2.86
Sb  0.0000  0.1659  0.5000 [4 per cell]  6 Se 2.90-2.91
Se  0.2403  0.3358  0.7286 [8 per cell]  1 Tm 2.85, 2 Sb 2.90-2.91, 3 Na 3.04-3.05
Se  0.2482  0.0000  0.7301 [4 per cell]  1 Tm 2.86, 2 Sb 2.90, 3 Na 3.08-3.09

Properties
mass density: 5.0 g cm⁻³
calculated total energy: -4.125 eV per atom

2.
The following is a DFT calculation (GGA-PBE) of crystalline BW at its relaxed geometry.

Lattice parameters (Å, degrees): 3.7543 3.7543 4.3607 90.00 90.00 120.00
Closest atoms and distances in Å follow each position.
Space group P6_3/mmc (No. 194)
Asymmetric unit:
B  0.3333  0.6667  0.2500 [2 per cell]  5 W 2.17-2.18
W  0.3333  0.6667  0.7500 [2 per cell]  5 B 2.17-2.18

Properties
mass density: 12.1 g cm⁻³
energy of formation: 0.10 eV per atom
ΔE to the lowest computed polymorph: 465 meV/atom

3.
The following is a DFT calculation (GGA-PBE) of crystalline U3InHg3Te8 at its relaxed geometry.

Lattice parameters (Å, degrees): 14.8247 8.5563 10.7843 90.00 117.31 90.00
Closest atoms and distances in Å follow each position.
Space group C2/m (No. 12)
Asymmetric unit:
U  0.0000  0.0000  0.0000 [2 per cell]  6 Te 3.03-3.05
U  0.2500  0.2500  0.0000 [4 per cell]  6 Te 3.03-3.05
In  0.0000  0.5000  0.0000 [2 per cell]  6 Te 3.07
Hg  0.0000  0.5000  0.5000 [2 per cell]  6 Te 3.89-3.91, 4 Hg 4.28
Hg  0.2500  0.2500  0.5000 [4 per cell]  6 Te 3.89-3.91, 4 Hg 4.28
Te  0.0228  0.2462  0.8149 [8 per cell]  2 U 3.03, 1 In 3.07
Te  0.2288  0.0000  0.1862 [4 per cell]  3 U 3.05
Te  0.2311  0.5000  0.1852 [4 per cell]  2 U 3.03, 1 In 3.07

Properties
mass density: 6.7 g cm⁻³
calculated total energy: -4.527 eV per atom

4.
The following is a DFT calculation (GGA-PBE) of crystalline Li14CdGa at its relaxed geometry.

Lattice parameters (Å, degrees): 9.6247 6.5571 9.4283 90.00 90.00 90.00
Closest atoms and distances in Å follow each position.
Space group Amm2 (No. 38)
Asymmetric unit:
Li  0.0000  0.0000  0.0000 [2 per cell]  8 Li 2.87-2.99
Li  0.0000  0.0000  0.4974 [2 per cell]  8 Li 2.87-3.04
Li  0.0000  0.2472  0.7482 [4 per cell]  8 Li 2.87-2.99
Li  0.2566  0.0000  0.2277 [4 per cell]  8 Li 2.84-2.98
Li  0.2603  0.0000  0.7293 [4 per cell]  8 Li 2.84-2.99
Li  0.2622  0.2434  0.9780 [8 per cell]  1 Ga 2.79, 6 Li 2.84-3.04, 1 Cd 2.84
Li  0.5000  0.2470  0.2251 [4 per cell]  4 Li 2.84-2.85, 2 Ga 2.87, 2 Cd 2.87
Cd  0.5000  0.0000  0.4763 [2 per cell]  8 Li 2.84-2.87
Ga  0.5000  0.0000  0.9740 [2 per cell]  8 Li 2.79-2.87

Properties
mass density: 1.6 g cm⁻³
energy of formation: -0.08 eV per atom

5.
The following is a DFT calculation (GGA-PBE) of crystalline Zn3BCl at its relaxed geometry.

Lattice parameters (Å, degrees): 4.3062 4.3062 4.3062 90.00 90.00 90.00
Closest atoms and distances in Å follow each position.
Space group Pm-3m (No. 221)
Asymmetric unit:
Zn  0.0000  0.0000  0.5000 [3 per cell]  2 B 2.15
B  0.0000  0.0000  0.0000 [1 per cell]  6 Zn 2.15
Cl  0.5000  0.5000  0.5000 [1 per cell]  12 Zn 3.04

Properties
mass density: 5.0 g cm⁻³
ΔE to the lowest computed polymorph: 0 meV/atom

6.
The following is a DFT calculation (GGA-PBE) of crystalline BeC2N at its relaxed geometry.

Lattice parameters (Å, degrees): 3.9293 3.9293 7.1267 90.00 90.00 90.00
Closest atoms and distances in Å follow each position.
Space group I-42d (No. 122)
Asymmetric unit:
Be  0.0000  0.0000  0.0000 [4 per cell]  4 C 1.77
C  0.2022  0.2500  0.6250 [8 per cell]  2 N 1.55
N  0.0000  0.0000  0.5000 [4 per cell]  4 C 1.55

Properties
mass density: 2.8 g cm⁻³
ΔE to the lowest computed polymorph: 881 meV/atom